(1)
Here is a geometry-optimized NaBe2ZnF8 structure from the Alexandria database. Energies are from PBE.

a = 4.856 Å, b = 4.856 Å, c = 6.868 Å
α = 89.52°, β = 89.52°, γ = 67.16°
Positions (direct):
1 Na 0.000 0.000 0.500
2 Be 0.639 0.639 0.231
3 Be 0.361 0.361 0.769
4 Zn 0.000 0.000 0.000
5 F 0.711 0.227 0.782
6 F 0.763 0.763 0.055
7 F 0.722 0.722 0.433
8 F 0.278 0.278 0.567
9 F 0.237 0.237 0.945
10 F 0.227 0.711 0.782
11 F 0.773 0.289 0.218
12 F 0.289 0.773 0.218

Output
As for the space-group type: C2/m, No. 12. The crystal system is monoclinic.



(2)
Here is a geometry-optimized Na2BeZnF6 structure from the Alexandria database. Energies are from PBE.

a = 5.347 Å, b = 5.296 Å, c = 5.305 Å
α = 60.58°, β = 60.06°, γ = 90.25°
Positions (direct):
1 Na 0.735 0.248 0.513
2 Na 0.265 0.752 0.487
3 Be 0.500 0.500 0.000
4 Zn 0.000 0.000 0.000
5 F 0.314 0.307 0.465
6 F 0.815 0.730 0.919
7 F 0.313 0.778 0.000
8 F 0.687 0.222 0.000
9 F 0.185 0.270 0.081
10 F 0.686 0.693 0.535

Output
As for the space-group type: P-1, No. 2. The crystal system is triclinic.



Computed volume (Å³ per cell) in order:
149.23; 107.01
Computed formation energy from raw total energies (eV per atom) in order:
-2.646; -2.689